{"formula": "AgPWO2", "functional": "PBE with a Hubbard U", "state": "optimized geometry", "sg": "P4/mmm (123)", "total_energy_ev_per_cell": -29.53, "e_above_lowest_polymorph_mev_per_atom": 0, "total_magnetization_mub_per_fu": 0.0, "lattice": [[3.848, 0.000, 0.000], [0.000, 3.848, 0.000], [0.000, 0.000, 5.155]], "species": ["P", "Ag", "O", "O", "W"], "fractional_positions": [[0.000, 0.000, 0.500], [0.500, 0.500, 0.500], [0.000, 0.500, 0.000], [0.500, 0.000, 0.000], [0.000, 0.000, 0.000]]}